A geometry-optimized TmScWO6 structure, computed with PBE+U.

Unit cell a=4.8858 b=4.8858 c=9.6610 alpha=90.00 beta=90.00 gamma=90.00
Fractional positions:
O (0.7154, 0.7154, 0.3396)
O (0.2154, 0.7846, 0.8396)
O (0.7846, 0.2154, 0.8396)
O (0.1827, 0.8173, 0.1783)
O (0.8173, 0.1827, 0.1783)
O (0.8065, 0.1935, 0.4805)
W (0.0000, 0.0000, 0.3339)
O (0.6827, 0.6827, 0.6783)
Sc (0.0000, 0.0000, 0.0011)
Sc (0.5000, 0.5000, 0.5011)
O (0.6935, 0.6935, 0.9805)
Tm (0.5000, 0.5000, 0.1679)
O (0.1935, 0.8065, 0.4805)
O (0.3173, 0.3173, 0.6783)
O (0.2846, 0.2846, 0.3396)
W (0.5000, 0.5000, 0.8339)
O (0.3065, 0.3065, 0.9805)
Tm (0.0000, 0.0000, 0.6679)

Results
E   -8.238 eV/atom
Symmetry   No. 102
N(E_F)   0.0 states/eV/cell